# CsScGeSe

CsScGeSe after structural relaxation (PBE, the Alexandria database).

```
CsScGeSe
1.0
9.348 0.000 0.034
0.000 3.822 0.000
-0.029 0.000 6.604
Cs Sc Ge Se
2 2 2 2
Cartesian
3.469 0.000 4.353
3.483 1.911 1.051
8.469 0.000 4.370
8.484 1.911 1.068
6.430 0.000 2.160
6.415 1.911 5.462
0.629 0.000 6.549
0.644 1.911 3.246
```

Calculated total energy ... -4.528 eV per atom
Formation energy (no corrections) ... -0.707 eV per atom
Size of the total moment ... 0.000 μB per atom
Relative energy among the computed polymorphs ... 0.024 eV/f.u.

***

# CsScGeSe

CsScGeSe after structural relaxation (PBE, the Alexandria database).

```
CsScGeSe
1.0
-3.272 -1.027 -0.637
0.567 -3.031 1.973
-5.589 8.610 14.829
Cs Sc Ge Se
2 2 2 2
Cartesian
-1.057 1.628 2.804
-3.568 4.418 11.205
-5.383 8.293 14.283
-2.305 2.473 7.855
-6.327 6.713 12.127
-3.249 0.892 5.699
-4.591 4.039 7.522
-1.513 -1.781 1.094
```

Calculated total energy ... -4.509 eV per atom
Formation energy (no corrections) ... -0.687 eV per atom
Size of the total moment ... 0.000 μB per atom
Relative energy among the computed polymorphs ... 0.103 eV/f.u.

***

# CsScGeTe3

CsScGeTe3 after structural relaxation (PBE, the Alexandria database).

```
CsScGeTe3
1.0
4.222 0.000 0.000
0.000 9.676 -1.144
0.000 -3.595 11.434
Cs Sc Ge Te
2 2 2 6
Cartesian
1.055 1.214 2.890
3.166 4.867 7.400
1.055 5.539 1.027
3.166 0.542 9.263
1.055 -0.870 6.225
3.166 6.951 4.065
3.166 7.601 1.451
1.055 -1.520 8.839
1.055 5.049 3.982
3.166 1.032 6.308
3.166 3.536 0.673
1.055 2.545 9.617
```

Calculated total energy ... -4.428 eV per atom
Formation energy (no corrections) ... -0.890 eV per atom
Size of the total moment ... 0.000 μB per atom